[1]
This record from Alexandria describes a relaxed NaP crystal. The functional is PBE.

a b c (Å): 9.835 7.739 6.671
angles (deg): 85.75 51.69 42.56
Sites, in units of the cell vectors:
Na 0.009 0.009 0.741
Na 0.259 0.259 0.991
Na 0.741 0.741 0.009
Na 0.991 0.991 0.259
P 0.294 0.456 0.294
P 0.456 0.294 0.456
P 0.544 0.706 0.544
P 0.706 0.544 0.706

Output
M_tot ... 0.000 μB/cell


[2]
This record from Alexandria describes a relaxed NaP crystal. The functional is PBE.

a b c (Å): 11.338 11.338 3.296
angles (deg): 90.00 90.00 90.00
Sites, in units of the cell vectors:
Na 0.013 0.791 0.000
Na 0.209 0.013 0.000
Na 0.269 0.312 0.500
Na 0.312 0.731 0.500
Na 0.688 0.269 0.500
Na 0.731 0.688 0.500
Na 0.791 0.987 0.000
Na 0.987 0.209 0.000
P 0.066 0.575 0.500
P 0.188 0.527 0.000
P 0.425 0.066 0.500
P 0.473 0.188 0.000
P 0.527 0.812 0.000
P 0.575 0.934 0.500
P 0.812 0.473 0.000
P 0.934 0.425 0.500

Output
M_tot ... 0.000 μB/cell


[3]
This record from Alexandria describes a relaxed NaP7 crystal. The functional is PBE.

a b c (Å): 12.686 12.686 12.686
angles (deg): 110.32 110.32 107.79
Sites, in units of the cell vectors:
Na 0.009 0.259 0.519
Na 0.241 0.491 0.981
Na 0.259 0.241 0.250
Na 0.491 0.009 0.250
Na 0.509 0.991 0.750
Na 0.741 0.759 0.750
Na 0.759 0.509 0.019
Na 0.991 0.741 0.481
P 0.004 0.490 0.338
P 0.007 0.782 0.859
P 0.010 0.496 0.162
P 0.077 0.718 0.725
P 0.078 0.708 0.988
P 0.090 0.078 0.869
P 0.147 0.007 0.725
P 0.152 0.990 0.986
P 0.166 0.152 0.662
P 0.208 0.578 0.488
P 0.218 0.577 0.225
P 0.220 0.090 0.512
P 0.228 0.250 0.478
P 0.250 0.272 0.022
P 0.250 0.772 0.522
P 0.272 0.750 0.022
P 0.280 0.792 0.869
P 0.282 0.507 0.359
P 0.292 0.780 0.369
P 0.334 0.996 0.986
P 0.348 0.334 0.838
P 0.353 0.077 0.859
P 0.410 0.280 0.988
P 0.422 0.410 0.631
P 0.423 0.147 0.641
P 0.490 0.652 0.486
P 0.493 0.353 0.775
P 0.496 0.834 0.486
P 0.504 0.166 0.514
P 0.507 0.647 0.225
P 0.510 0.348 0.514
P 0.577 0.853 0.359
P 0.578 0.590 0.369
P 0.590 0.720 0.012
P 0.647 0.923 0.141
P 0.652 0.666 0.162
P 0.666 0.004 0.014
P 0.708 0.220 0.631
P 0.718 0.493 0.641
P 0.720 0.208 0.131
P 0.728 0.250 0.978
P 0.750 0.228 0.478
P 0.750 0.728 0.978
P 0.772 0.750 0.522
P 0.780 0.910 0.488
P 0.782 0.423 0.775
P 0.792 0.422 0.512
P 0.834 0.848 0.338
P 0.848 0.010 0.014
P 0.853 0.993 0.275
P 0.910 0.922 0.131
P 0.922 0.292 0.012
P 0.923 0.282 0.275
P 0.990 0.504 0.838
P 0.993 0.218 0.141
P 0.996 0.510 0.662

Output
M_tot ... 0.000 μB/cell


[4]
This record from Alexandria describes a relaxed NaP crystal. The functional is PBE.

a b c (Å): 8.099 8.099 8.099
angles (deg): 90.00 90.00 90.00
Sites, in units of the cell vectors:
Na 0.000 0.250 0.500
Na 0.000 0.750 0.500
Na 0.250 0.500 0.000
Na 0.500 0.000 0.250
Na 0.500 0.000 0.750
Na 0.750 0.500 0.000
P 0.000 0.500 0.250
P 0.000 0.500 0.750
P 0.250 0.000 0.500
P 0.500 0.250 0.000
P 0.500 0.750 0.000
P 0.750 0.000 0.500

Output
M_tot ... 10.834 μB/cell


[5]
This record from Alexandria describes a relaxed NaP15 crystal. The functional is PBE.

a b c (Å): 7.259 9.368 12.072
angles (deg): 93.10 98.00 109.55
Sites, in units of the cell vectors:
Na 0.215 0.212 0.001
Na 0.785 0.788 0.999
P 0.008 0.448 0.834
P 0.016 0.332 0.391
P 0.020 0.903 0.678
P 0.106 0.914 0.858
P 0.120 0.752 0.294
P 0.199 0.603 0.733
P 0.259 0.482 0.167
P 0.299 0.860 0.168
P 0.301 0.990 0.608
P 0.310 0.455 0.350
P 0.334 0.812 0.856
P 0.341 0.686 0.420
P 0.381 0.237 0.649
P 0.482 0.075 0.270
P 0.494 0.718 0.167
P 0.506 0.282 0.833
P 0.518 0.925 0.730
P 0.619 0.763 0.351
P 0.659 0.314 0.580
P 0.666 0.188 0.144
P 0.690 0.545 0.650
P 0.699 0.010 0.392
P 0.701 0.140 0.832
P 0.741 0.518 0.833
P 0.801 0.397 0.267
P 0.880 0.248 0.706
P 0.894 0.086 0.142
P 0.980 0.097 0.322
P 0.984 0.668 0.609
P 0.992 0.552 0.166

Output
M_tot ... 0.000 μB/cell


[6]
This record from Alexandria describes a relaxed NaP crystal. The functional is PBE.

a b c (Å): 4.922 4.922 5.516
angles (deg): 90.00 90.00 120.00
Sites, in units of the cell vectors:
Na 0.333 0.667 0.250
Na 0.667 0.333 0.750
P 0.333 0.667 0.750
P 0.667 0.333 0.250

Output
M_tot ... 0.000 μB/cell


[7]
This record from Alexandria describes a relaxed Na3P crystal. The functional is PBE.

a b c (Å): 4.499 4.499 4.499
angles (deg): 90.00 90.00 90.00
Sites, in units of the cell vectors:
Na 0.000 0.000 0.500
Na 0.000 0.500 0.000
Na 0.500 0.000 0.000
P 0.500 0.500 0.500

Output
M_tot ... 0.000 μB/cell


[8]
This record from Alexandria describes a relaxed NaP crystal. The functional is PBE.

a b c (Å): 6.618 6.618 6.618
angles (deg): 90.00 90.00 90.00
Sites, in units of the cell vectors:
Na 0.000 0.000 0.000
Na 0.000 0.500 0.500
Na 0.500 0.000 0.500
Na 0.500 0.500 0.000
P 0.250 0.250 0.750
P 0.250 0.750 0.250
P 0.750 0.250 0.250
P 0.750 0.750 0.750

Output
M_tot ... 8.001 μB/cell


[9]
This record from Alexandria describes a relaxed NaP crystal. The functional is PBE.

a b c (Å): 5.670 6.057 10.155
angles (deg): 90.00 90.00 90.00
Sites, in units of the cell vectors:
Na 0.115 0.114 0.418
Na 0.155 0.336 0.784
Na 0.345 0.664 0.284
Na 0.385 0.886 0.918
Na 0.615 0.386 0.582
Na 0.655 0.164 0.216
Na 0.845 0.836 0.716
Na 0.885 0.614 0.082
P 0.113 0.558 0.535
P 0.153 0.179 0.116
P 0.347 0.821 0.616
P 0.387 0.442 0.035
P 0.613 0.942 0.465
P 0.653 0.321 0.884
P 0.847 0.679 0.384
P 0.887 0.058 0.965

Output
M_tot ... 0.000 μB/cell


[10]
This record from Alexandria describes a relaxed Na3P11 crystal. The functional is PBE.

a b c (Å): 9.906 12.601 10.615
angles (deg): 90.00 90.00 90.00
Sites, in units of the cell vectors:
Na 0.000 0.249 0.250
Na 0.000 0.751 0.750
Na 0.247 0.492 0.578
Na 0.247 0.508 0.078
Na 0.253 0.008 0.078
Na 0.253 0.992 0.578
Na 0.500 0.251 0.750
Na 0.500 0.749 0.250
Na 0.747 0.008 0.422
Na 0.747 0.992 0.922
Na 0.753 0.492 0.922
Na 0.753 0.508 0.422
P 0.000 0.003 0.250
P 0.000 0.997 0.750
P 0.023 0.353 0.509
P 0.023 0.647 0.009
P 0.083 0.112 0.882
P 0.083 0.888 0.382
P 0.087 0.385 0.817
P 0.087 0.615 0.317
P 0.104 0.200 0.570
P 0.104 0.800 0.070
P 0.192 0.233 0.763
P 0.192 0.767 0.263
P 0.308 0.267 0.263
P 0.308 0.733 0.763
P 0.396 0.300 0.070
P 0.396 0.700 0.570
P 0.413 0.115 0.317
P 0.413 0.885 0.817
P 0.417 0.388 0.382
P 0.417 0.612 0.882
P 0.477 0.147 0.009
P 0.477 0.853 0.509
P 0.500 0.497 0.750
P 0.500 0.503 0.250
P 0.523 0.147 0.491
P 0.523 0.853 0.991
P 0.583 0.388 0.118
P 0.583 0.612 0.618
P 0.587 0.115 0.183
P 0.587 0.885 0.683
P 0.604 0.300 0.430
P 0.604 0.700 0.930
P 0.692 0.267 0.237
P 0.692 0.733 0.737
P 0.808 0.233 0.737
P 0.808 0.767 0.237
P 0.896 0.200 0.930
P 0.896 0.800 0.430
P 0.913 0.385 0.683
P 0.913 0.615 0.183
P 0.917 0.112 0.618
P 0.917 0.888 0.118
P 0.977 0.353 0.991
P 0.977 0.647 0.491

Output
M_tot ... 0.000 μB/cell


[11]
This record from Alexandria describes a relaxed NaP crystal. The functional is PBE.

a b c (Å): 8.723 8.723 8.723
angles (deg): 90.00 90.00 90.00
Sites, in units of the cell vectors:
Na 0.215 0.215 0.215
Na 0.215 0.785 0.785
Na 0.285 0.285 0.715
Na 0.285 0.715 0.285
Na 0.715 0.285 0.285
Na 0.715 0.715 0.715
Na 0.785 0.215 0.785
Na 0.785 0.785 0.215
P 0.094 0.094 0.906
P 0.094 0.906 0.094
P 0.406 0.406 0.406
P 0.406 0.594 0.594
P 0.594 0.406 0.594
P 0.594 0.594 0.406
P 0.906 0.094 0.094
P 0.906 0.906 0.906

Output
M_tot ... 2.177 μB/cell


[12]
This record from Alexandria describes a relaxed NaP crystal. The functional is PBE.

a b c (Å): 2.779 2.867 4.432
angles (deg): 90.00 90.00 90.00
Sites, in units of the cell vectors:
Na 0.000 0.000 0.000
P 0.500 0.500 0.500

Output
M_tot ... 0.000 μB/cell


no.,VASP energy (eV/cell),formation enthalpy at 0 K (eV per atom)
1,-28.5,-0.20
2,-56.6,-0.17
3,-323.5,-0.16
4,-30.3,0.84
5,-167.3,-0.07
6,-10.6,0.70
7,-9.8,-0.10
8,-20.3,0.83
9,-60.0,-0.38
10,-267.3,-0.24
11,-50.1,0.23
12,-6.8,-0.04